First-principles (PBE) data for a relaxed La6OsPt2Br3 crystal, as listed in Alexandria.

Geometry as POSCAR:
```
La6OsPt2Br3
1.0
7.3592 -0.0023 0.0010
-3.6798 6.3732 0.0010
-1.2262 -2.1232 7.8923
Br La Pt Os
3 6 2 1
Cartesian
1.2266 2.1239 3.9471
4.9288 -0.0143 3.9471
-2.4755 4.2620 3.9471
3.6355 2.1996 6.3318
-0.0428 -0.0741 6.3308
0.0883 4.2482 6.3318
2.3649 -0.0005 1.5624
-1.1823 2.0482 1.5624
2.4960 4.3219 1.5634
-0.0020 4.2491 0.0010
3.6815 2.1218 0.0010
0.0000 0.0000 0.0000
```

Computed properties:
- electronic total energy (eV per atom) = -6.045
- E_form (uncorrected) (eV/atom) = -1.22
- calculated volume (Å³ per cell) = 370.1
- symmetry = C2/m, No. 12
- density of states at the Fermi level (states/eV/f.u.) = 6.1